{"formula": "Bi2Sb2Pd3", "functional": "GGA-PBE", "state": "optimized geometry", "formation_energy_uncorrected_ev_per_atom": -0.28, "magmom_total_mub_per_atom": 0.000, "e_above_lowest_polymorph_ev_per_fu": 0.12, "lattice": [[4.280, 0.000, 0.000], [0.007, 5.952, 0.000], [2.133, 0.432, 6.543]], "species": ["Bi", "Bi", "Sb", "Sb", "Pd", "Pd", "Pd"], "fractional_positions": [[0.146, 0.091, 0.208], [0.854, 0.909, 0.792], [0.397, 0.375, 0.706], [0.603, 0.625, 0.294], [0.227, 0.649, 0.045], [0.500, 0.000, 0.500], [0.773, 0.351, 0.955]]}